Record 1
Compound: Fe2ReCl
Source: Alexandria via LeMat-Bulk
Functional: SCAN
Structure: PBEsol geometry

Summary:
Its crystal system is tetragonal. The offset from the most stable computed form is 95 meV per atom. For the formation energy (no corrections), the calculation gives 371 meV/atom.

Cell lengths 2.751, 2.751, 6.766 Å; angles 90.00, 90.00, 90.00 degrees
Positions (direct):
Fe 0.000 0.000 0.246
Fe 0.000 0.000 0.754
Re 0.500 0.500 0.500
Cl 0.500 0.500 0.000

Record 2
Compound: LiNiP2O7
Source: Alexandria via LeMat-Bulk
Functional: SCAN
Structure: PBEsol geometry

Summary:
Its crystal system is monoclinic. The offset from the most stable computed form is 8 meV per atom. For the formation energy (no corrections), the calculation gives -2161 meV/atom.

Cell lengths 5.103, 5.103, 4.404 Å; angles 98.72, 98.72, 102.28 degrees
Positions (direct):
Li 0.000 0.000 0.000
Ni 0.370 0.630 0.000
P 0.502 0.080 0.593
P 0.920 0.498 0.407
O 0.070 0.688 0.720
O 0.100 0.399 0.187
O 0.312 0.930 0.280
O 0.367 0.292 0.735
O 0.601 0.900 0.813
O 0.708 0.633 0.265
O 0.786 0.214 0.500

Record 3
Compound: Ca2ScPb
Source: Alexandria via LeMat-Bulk
Functional: SCAN
Structure: PBEsol geometry

Summary:
The value obtained for the formation energy from the elements is -0.2622 eV per atom. Its crystal system is orthorhombic.

Cell lengths 3.676, 4.368, 7.315 Å; angles 90.00, 90.00, 90.00 degrees
Positions (direct):
Ca 0.000 0.000 0.000
Ca 0.500 0.500 0.306
Sc 0.500 0.500 0.746
Pb 0.000 0.000 0.551

Record 4
Compound: Pt2Au
Source: Alexandria via LeMat-Bulk
Functional: SCAN
Structure: PBEsol geometry

Summary:
The value obtained for the formation energy from the elements is 0.0775 eV per atom. Its crystal system is trigonal. The offset from the most stable computed form is 0 meV per atom.

Cell lengths 2.785, 2.785, 6.961 Å; angles 90.00, 90.00, 120.00 degrees
Positions (direct):
Pt 0.333 0.667 0.163
Pt 0.667 0.333 0.837
Au 0.000 0.000 0.500

Record 5
Compound: CdReCl2
Source: Alexandria via LeMat-Bulk
Functional: SCAN
Structure: PBEsol geometry

Summary:
Its crystal system is tetragonal. The offset from the most stable computed form is 585 meV per atom. For the formation energy (no corrections), the calculation gives 972 meV/atom.

Cell lengths 4.293, 4.293, 4.127 Å; angles 90.00, 90.00, 90.00 degrees
Positions (direct):
Cd 0.000 0.000 0.000
Re 0.500 0.500 0.000
Cl 0.000 0.500 0.500
Cl 0.500 0.000 0.500

Record 6
Compound: BaTePb3
Source: Alexandria via LeMat-Bulk
Functional: SCAN
Structure: PBEsol geometry

Summary:
Its crystal system is cubic. For the formation energy (no corrections), the calculation gives 936 meV/atom.

Cell lengths 6.168, 6.168, 6.168 Å; angles 90.00, 90.00, 90.00 degrees
Positions (direct):
Ba 0.000 0.000 0.000
Te 0.500 0.500 0.500
Pb 0.000 0.000 0.500
Pb 0.000 0.500 0.000
Pb 0.500 0.000 0.000